Record 1
Computed, not measured: a relaxed KSeS crystal at the PBE level of DFT.

The structure belongs to space group P3m1 (No. 156); the cell edges are 4.5178, 4.5178 and 4.7738 Å and the angles 90.00°, 90.00° and 120.00°. The asymmetric unit holds K at (0.0000, 0.0000, 0.0000), Se at (0.3333, 0.6667, 0.5251) and S at (0.6667, 0.3333, 0.4518).

As for the uncorrected energy: -0.239 Ry/atom. As for the uncorrected formation energy: -100 kJ/mol of formula units. For the spin magnetization, the calculation gives 0.000 μB/cell. As for the crystal system: trigonal. The volume comes out at 28.13 A^3/atom. The energy above the lowest structure with this stoichiometry comes out at 283 meV/atom.

=====

Record 2
Computed, not measured: a relaxed Cr10Sb3Te7 crystal at the PBE level of DFT.

The structure belongs to space group C2 (No. 5); the cell edges are 12.8245, 7.1160 and 10.1216 Å and the angles 90.00°, 107.82° and 90.00°. The asymmetric unit holds Cr at (0.0060, 0.0000, 0.2557), Cr at (0.1001, 0.4901, 0.4435), Cr at (0.1042, 0.4947, 0.9482), Cr at (0.1944, 0.9966, 0.6464), Cr at (0.1959, 0.9994, 0.1482), Sb at (0.0000, 0.1706, 0.0000), Sb at (0.2066, 0.1667, 0.4024), Te at (0.0000, 0.8257, 0.5000), Te at (0.0994, 0.6644, 0.1974), Te at (0.1036, 0.3307, 0.6962) and Te at (0.1976, 0.8332, 0.8984).

As for the uncorrected energy: -0.478 Ry/atom. As for the uncorrected formation energy: 41 kJ/mol of formula units. For the spin magnetization, the calculation gives 13.165 μB/cell. As for the crystal system: monoclinic. The volume comes out at 21.98 A^3/atom.

=====

Record 3
Computed, not measured: a relaxed NbBi2Ir crystal at the PBE level of DFT.

The structure belongs to space group Fm-3m (No. 225); the cell edges are 6.9487, 6.9487 and 6.9487 Å and the angles 90.00°, 90.00° and 90.00°. The asymmetric unit holds Nb at (0.0000, 0.0000, 0.0000), Bi at (0.2500, 0.2500, 0.2500) and Ir at (0.0000, 0.0000, 0.5000).

As for the uncorrected energy: -0.458 Ry/atom. For the spin magnetization, the calculation gives 0.000 μB/cell. As for the crystal system: cubic. The volume comes out at 20.97 A^3/atom. The formation enthalpy at 0 K comes out at 0.44 eV/atom. The energy above the lowest structure with this stoichiometry comes out at 0 meV/atom.

=====

Record 4
Computed, not measured: a relaxed NaAgAu crystal at the PBE level of DFT.

The structure belongs to space group F-43m (No. 216); the cell edges are 6.6251, 6.6251 and 6.6251 Å and the angles 90.00°, 90.00° and 90.00°. The asymmetric unit holds Na at (0.0000, 0.0000, 0.0000), Ag at (0.0000, 0.0000, 0.5000) and Au at (0.2500, 0.2500, 0.2500).

As for the uncorrected energy: -0.184 Ry/atom. For the spin magnetization, the calculation gives 0.000 μB/cell. As for the crystal system: cubic. The volume comes out at 24.23 A^3/atom. The formation enthalpy at 0 K comes out at -0.02 eV/atom. The energy above the lowest structure with this stoichiometry comes out at 228 meV/atom.

=====

Record 5
Computed, not measured: a relaxed SiSbTe crystal at the PBE level of DFT.

The structure belongs to space group P3m1 (No. 156); the cell edges are 3.6753, 3.6753 and 7.0386 Å and the angles 90.00°, 90.00° and 120.00°. The asymmetric unit holds Si at (0.0000, 0.0000, 0.0000), Sb at (0.3333, 0.6667, 0.7359) and Te at (0.6667, 0.3333, 0.2352).

As for the uncorrected energy: -0.294 Ry/atom. As for the uncorrected formation energy: 66 kJ/mol of formula units. For the spin magnetization, the calculation gives 0.000 μB/cell. As for the crystal system: trigonal. The volume comes out at 27.45 A^3/atom. The energy above the lowest structure with this stoichiometry comes out at 51 meV/atom.

=====

Record 6
Computed, not measured: a relaxed RbZrTl2Cr crystal at the PBE level of DFT.

The structure belongs to space group P4/mmm (No. 123); the cell edges are 5.9489, 5.9489 and 5.6871 Å and the angles 90.00°, 90.00° and 90.00°. The asymmetric unit holds Rb at (0.0000, 0.0000, 0.0000), Zr at (0.0000, 0.0000, 0.5000), Tl at (0.0000, 0.5000, 0.0000) and Cr at (0.5000, 0.5000, 0.5000).

As for the uncorrected energy: -0.210 Ry/atom. For the spin magnetization, the calculation gives 6.697 μB/cell. As for the crystal system: tetragonal. The volume comes out at 40.25 A^3/atom. The formation enthalpy at 0 K comes out at 1.91 eV/atom.

=====

Record 7
Computed, not measured: a relaxed Hf2CuCCl crystal at the PBE level of DFT.

The structure belongs to space group P4/mmm (No. 123); the cell edges are 4.4063, 4.4063 and 4.7467 Å and the angles 90.00°, 90.00° and 90.00°. The asymmetric unit holds Hf at (0.0000, 0.5000, 0.0000), Cu at (0.0000, 0.0000, 0.5000), C at (0.5000, 0.5000, 0.0000) and Cl at (0.5000, 0.5000, 0.5000).

As for the uncorrected energy: -0.481 Ry/atom. As for the uncorrected formation energy: 226 kJ/mol of formula units. For the spin magnetization, the calculation gives 0.000 μB/cell. As for the crystal system: tetragonal. The volume comes out at 18.43 A^3/atom.

=====

Record 8
Computed, not measured: a relaxed CaGa2BRh crystal at the PBE level of DFT.

The structure belongs to space group P4/mmm (No. 123); the cell edges are 4.7147, 4.7147 and 5.3883 Å and the angles 90.00°, 90.00° and 90.00°. The asymmetric unit holds Ca at (0.0000, 0.0000, 0.0000), Ga at (0.0000, 0.5000, 0.5000), B at (0.5000, 0.5000, 0.0000) and Rh at (0.0000, 0.0000, 0.5000).

As for the uncorrected energy: -0.286 Ry/atom. For the spin magnetization, the calculation gives 0.561 μB/cell. As for the crystal system: tetragonal. The volume comes out at 23.95 A^3/atom. The formation enthalpy at 0 K comes out at 0.53 eV/atom.

=====

Record 9
Computed, not measured: a relaxed CePm2N3 crystal at the PBE level of DFT.

The structure belongs to space group C2/c (No. 15); the cell edges are 6.2200, 10.7811 and 6.2232 Å and the angles 90.00°, 109.44° and 90.00°. The asymmetric unit holds Ce at (0.0000, 0.0836, 0.2500), Pm at (0.0000, 0.2501, 0.7500), Pm at (0.0000, 0.4166, 0.2500), N at (0.2365, 0.0790, 0.0010) and N at (0.2500, 0.2500, 0.5000).

As for the uncorrected energy: -0.604 Ry/atom. As for the uncorrected formation energy: -858 kJ/mol of formula units. For the spin magnetization, the calculation gives 0.000 μB/cell. As for the crystal system: monoclinic. The volume comes out at 16.40 A^3/atom. The energy above the lowest structure with this stoichiometry comes out at 0 meV/atom.

=====

Record 10
Computed, not measured: a relaxed Y2ZrCo crystal at the PBE level of DFT.

The structure belongs to space group P4/mmm (No. 123); the cell edges are 3.3888, 3.3888 and 8.0876 Å and the angles 90.00°, 90.00° and 90.00°. The asymmetric unit holds Y at (0.0000, 0.0000, 0.2033), Zr at (0.5000, 0.5000, 0.5000) and Co at (0.5000, 0.5000, 0.0000).

As for the uncorrected energy: -0.523 Ry/atom. For the spin magnetization, the calculation gives 0.705 μB/cell. As for the crystal system: tetragonal. The volume comes out at 23.22 A^3/atom. The formation enthalpy at 0 K comes out at 0.03 eV/atom. The energy above the lowest structure with this stoichiometry comes out at 150 meV/atom.

=====

Record 11
Computed, not measured: a relaxed La2TbSm2Tm4 crystal at the PBE level of DFT.

The structure belongs to space group C2/m (No. 12); the cell edges are 18.7414, 3.6186 and 9.6028 Å and the angles 90.00°, 115.78° and 90.00°. The asymmetric unit holds La at (0.1653, 0.0000, 0.0026), Tb at (0.0000, 0.5000, 0.0000), Sm at (0.1468, 0.5000, 0.6622), Tm at (0.0206, 0.0000, 0.3349) and Tm at (0.1850, 0.5000, 0.3393).

As for the uncorrected energy: -0.341 Ry/atom. For the spin magnetization, the calculation gives 0.000 μB/cell. As for the crystal system: monoclinic. The volume comes out at 32.58 A^3/atom. The formation enthalpy at 0 K comes out at 0.00 eV/atom.

=====

Record 12
Computed, not measured: a relaxed LaScPb crystal at the PBE level of DFT.

The structure belongs to space group Imm2 (No. 44); the cell edges are 3.5447, 4.3056 and 11.5708 Å and the angles 90.00°, 90.00° and 90.00°. The asymmetric unit holds La at (0.0000, 0.0000, 0.0000), Sc at (0.0000, 0.0000, 0.6940) and Pb at (0.0000, 0.0000, 0.3138).

As for the uncorrected energy: -0.387 Ry/atom. For the spin magnetization, the calculation gives 1.666 μB/cell. As for the crystal system: orthorhombic. The volume comes out at 29.43 A^3/atom. The formation enthalpy at 0 K comes out at -0.28 eV/atom. The energy above the lowest structure with this stoichiometry comes out at 205 meV/atom.